A plane-wave DFT calculation with PBE was carried out for Cu2Ag7 after structural relaxation.

The structure in CIF format:
```
data_Cu2Ag7
_chemical_formula_sum 'Cu4 Ag14'
_cell_length_a 12.210
_cell_length_b 4.071
_cell_length_c 6.383
_cell_angle_alpha 90.00
_cell_angle_beta 108.53
_cell_angle_gamma 90.00
_space_group_name_H-M_alt 'C 1 2/m 1'
_space_group_IT_number 12
loop_
_space_group_symop_operation_xyz
'x,y,z'
'-x,-y,-z'
'-x,y,-z'
'x,-y,z'
'x+1/2,y+1/2,z'
'-x+1/2,-y+1/2,-z'
'-x+1/2,y+1/2,-z'
'x+1/2,-y+1/2,z'
loop_
_atom_site_label
_atom_site_type_symbol
_atom_site_fract_x
_atom_site_fract_y
_atom_site_fract_z
Cu1 Cu 0.170 0.000 0.000
Ag1 Ag 0.000 0.500 0.000
Ag2 Ag 0.054 0.000 0.327
Ag3 Ag 0.116 0.500 0.679
Ag4 Ag 0.222 0.500 0.320
```

Summary:
Energy relative to the lowest polymorph listed for this composition, kJ/mol of atoms: 3.0
Formation enthalpy at 0 K, eV/f.u.: 0.522
Density, g cm⁻³: 9.74